This record from the Alexandria database describes a relaxed structure of KNi2F7. The functional is PBE with a Hubbard U.

Properties
* total magnetization: 1.98 μB/f.u.
* DFT total energy: -3.7725 eV/atom

Cell: 3.7087 6.7698 6.7698 Å, 126.89 90.00 90.00°
Each line ends with the local moment (μB).
Fractional positions:
F (0.0000, 0.3143, 0.6857)  -0.02
F (0.5000, 0.5000, 0.5000)  0.03
F (0.0000, 0.6857, 0.3143)  -0.02
F (0.5000, 0.3509, 0.0534)  -0.09
F (0.5000, 0.6491, 0.9466)  -0.09
F (0.5000, 0.0534, 0.3509)  -0.09
F (0.5000, 0.9466, 0.6491)  -0.09
K (0.0000, 0.0000, 0.0000)  0.00
Ni (0.5000, 0.6593, 0.3407)  1.18
Ni (0.5000, 0.3407, 0.6593)  1.18